# InCoH2 | Alexandria via LeMat-Bulk | PBE | relaxed
# - ΔE to the lowest computed polymorph: 0.202 eV/atom
# - Space-group type: I-42d
# - Total DFT energy (no corrections): -3.88 eV per atom
data_InCoH2
_chemical_formula_sum 'In2 Co2 H4'
_cell_length_a 4.279
_cell_length_b 4.279
_cell_length_c 5.382
_cell_angle_alpha 66.58
_cell_angle_beta 66.58
_cell_angle_gamma 90.00
_symmetry_space_group_name_H-M 'P 1'
_symmetry_Int_Tables_number 1
loop_
_symmetry_equiv_pos_as_xyz
'x,y,z'
loop_
_atom_site_label
_atom_site_type_symbol
_atom_site_fract_x
_atom_site_fract_y
_atom_site_fract_z
_atom_site_occupancy
H1 H 0.375 0.547 0.750 1
In1 In 0.000 0.000 0.000 1
Co1 Co 0.250 0.750 0.500 1
H2 H 0.297 0.625 0.250 1
Co2 Co 0.500 0.500 0.000 1
H3 H 0.875 0.703 0.750 1
In2 In 0.750 0.250 0.500 1
H4 H 0.453 0.125 0.250 1

# InCo2H2 | Alexandria via LeMat-Bulk | PBE | relaxed
# - ΔE to the lowest computed polymorph: 0.363 eV/atom
# - Space-group type: P4/mbm
# - Total DFT energy (no corrections): -4.27 eV per atom
data_InCo2H2
_chemical_formula_sum 'In2 Co4 H4'
_cell_length_a 5.978
_cell_length_b 5.978
_cell_length_c 2.733
_cell_angle_alpha 90.00
_cell_angle_beta 90.00
_cell_angle_gamma 90.00
_symmetry_space_group_name_H-M 'P 1'
_symmetry_Int_Tables_number 1
loop_
_symmetry_equiv_pos_as_xyz
'x,y,z'
loop_
_atom_site_label
_atom_site_type_symbol
_atom_site_fract_x
_atom_site_fract_y
_atom_site_fract_z
_atom_site_occupancy
Co1 Co 0.365 0.135 0.500 1
H1 H 0.923 0.577 0.000 1
Co2 Co 0.135 0.635 0.500 1
H2 H 0.577 0.077 0.000 1
Co3 Co 0.865 0.365 0.500 1
Co4 Co 0.635 0.865 0.500 1
In1 In 0.000 0.000 0.000 1
H3 H 0.077 0.423 0.000 1
H4 H 0.423 0.923 0.000 1
In2 In 0.500 0.500 0.000 1

# InCo3H | Alexandria via LeMat-Bulk | PBE | relaxed
# - ΔE to the lowest computed polymorph: 0.000 eV/atom
# - Space-group type: Pm-3m
# - Total DFT energy (no corrections): -5.38 eV per atom
data_InCo3H
_chemical_formula_sum 'In1 Co3 H1'
_cell_length_a 3.767
_cell_length_b 3.767
_cell_length_c 3.767
_cell_angle_alpha 90.00
_cell_angle_beta 90.00
_cell_angle_gamma 90.00
_symmetry_space_group_name_H-M 'P 1'
_symmetry_Int_Tables_number 1
loop_
_symmetry_equiv_pos_as_xyz
'x,y,z'
loop_
_atom_site_label
_atom_site_type_symbol
_atom_site_fract_x
_atom_site_fract_y
_atom_site_fract_z
_atom_site_occupancy
Co1 Co 0.500 0.000 0.000 1
Co2 Co 0.000 0.500 0.000 1
Co3 Co 0.000 0.000 0.500 1
H1 H 0.000 0.000 0.000 1
In1 In 0.500 0.500 0.500 1

# In2CoH2 | Alexandria via LeMat-Bulk | PBE | relaxed
# - ΔE to the lowest computed polymorph: 0.000 eV/atom
# - Space-group type: P4/mbm
# - Total DFT energy (no corrections): -3.46 eV per atom
data_In2CoH2
_chemical_formula_sum 'In4 Co2 H4'
_cell_length_a 5.646
_cell_length_b 5.646
_cell_length_c 4.069
_cell_angle_alpha 90.00
_cell_angle_beta 90.00
_cell_angle_gamma 90.00
_symmetry_space_group_name_H-M 'P 1'
_symmetry_Int_Tables_number 1
loop_
_symmetry_equiv_pos_as_xyz
'x,y,z'
loop_
_atom_site_label
_atom_site_type_symbol
_atom_site_fract_x
_atom_site_fract_y
_atom_site_fract_z
_atom_site_occupancy
In1 In 0.186 0.686 0.500 1
Co1 Co 0.500 0.500 0.000 1
In2 In 0.686 0.814 0.500 1
In3 In 0.314 0.186 0.500 1
H1 H 0.752 0.252 0.000 1
H2 H 0.248 0.748 0.000 1
In4 In 0.814 0.314 0.500 1
Co2 Co 0.000 0.000 0.000 1
H3 H 0.748 0.752 0.000 1
H4 H 0.252 0.248 0.000 1

# InCo3H | Alexandria via LeMat-Bulk | PBE | relaxed
# - ΔE to the lowest computed polymorph: 2.005 eV/atom
# - Space-group type: Pm-3m
# - Total DFT energy (no corrections): -3.37 eV per atom
data_InCo3H
_chemical_formula_sum 'In1 Co3 H1'
_cell_length_a 4.845
_cell_length_b 4.845
_cell_length_c 4.845
_cell_angle_alpha 90.00
_cell_angle_beta 90.00
_cell_angle_gamma 90.00
_symmetry_space_group_name_H-M 'P 1'
_symmetry_Int_Tables_number 1
loop_
_symmetry_equiv_pos_as_xyz
'x,y,z'
loop_
_atom_site_label
_atom_site_type_symbol
_atom_site_fract_x
_atom_site_fract_y
_atom_site_fract_z
_atom_site_occupancy
In1 In 0.000 0.000 0.000 1
Co1 Co 0.000 0.000 0.500 1
H1 H 0.500 0.500 0.500 1
Co2 Co 0.000 0.500 0.000 1
Co3 Co 0.500 0.000 0.000 1

# InCo2H2 | Alexandria via LeMat-Bulk | PBE | relaxed
# - ΔE to the lowest computed polymorph: 0.000 eV/atom
# - Space-group type: I4/mmm
# - Total DFT energy (no corrections): -4.64 eV per atom
data_InCo2H2
_chemical_formula_sum 'In1 Co2 H2'
_cell_length_a 3.109
_cell_length_b 3.109
_cell_length_c 5.262
_cell_angle_alpha 72.82
_cell_angle_beta 72.82
_cell_angle_gamma 90.00
_symmetry_space_group_name_H-M 'P 1'
_symmetry_Int_Tables_number 1
loop_
_symmetry_equiv_pos_as_xyz
'x,y,z'
loop_
_atom_site_label
_atom_site_type_symbol
_atom_site_fract_x
_atom_site_fract_y
_atom_site_fract_z
_atom_site_occupancy
In1 In 0.000 0.000 0.000 1
Co1 Co 0.333 0.333 0.334 1
H1 H 0.750 0.250 0.500 1
H2 H 0.250 0.750 0.500 1
Co2 Co 0.667 0.667 0.666 1

# In2CoH2 | Alexandria via LeMat-Bulk | PBE | relaxed
# - ΔE to the lowest computed polymorph: 0.023 eV/atom
# - Space-group type: I4/mmm
# - Total DFT energy (no corrections): -3.44 eV per atom
data_In2CoH2
_chemical_formula_sum 'In2 Co1 H2'
_cell_length_a 3.030
_cell_length_b 3.030
_cell_length_c 7.042
_cell_angle_alpha 77.58
_cell_angle_beta 77.58
_cell_angle_gamma 90.00
_symmetry_space_group_name_H-M 'P 1'
_symmetry_Int_Tables_number 1
loop_
_symmetry_equiv_pos_as_xyz
'x,y,z'
loop_
_atom_site_label
_atom_site_type_symbol
_atom_site_fract_x
_atom_site_fract_y
_atom_site_fract_z
_atom_site_occupancy
H1 H 0.750 0.250 0.500 1
Co1 Co 0.000 0.000 0.000 1
In1 In 0.624 0.624 0.752 1
In2 In 0.376 0.376 0.248 1
H2 H 0.250 0.750 0.500 1

# In3Co5H12 | Alexandria via LeMat-Bulk | PBE | relaxed
# - Space-group type: Ia-3d
# - Total DFT energy (no corrections): -3.95 eV per atom
data_In3Co5H12
_chemical_formula_sum 'In12 Co20 H48'
_cell_length_a 9.443
_cell_length_b 9.443
_cell_length_c 9.443
_cell_angle_alpha 109.47
_cell_angle_beta 109.47
_cell_angle_gamma 109.47
_symmetry_space_group_name_H-M 'P 1'
_symmetry_Int_Tables_number 1
loop_
_symmetry_equiv_pos_as_xyz
'x,y,z'
loop_
_atom_site_label
_atom_site_type_symbol
_atom_site_fract_x
_atom_site_fract_y
_atom_site_fract_z
_atom_site_occupancy
H1 H 0.312 0.823 0.395 1
H2 H 0.988 0.417 0.812 1
H3 H 0.312 0.488 0.417 1
H4 H 0.072 0.395 0.083 1
H5 H 0.083 0.188 0.512 1
H6 H 0.323 0.395 0.812 1
H7 H 0.895 0.812 0.823 1
Co1 Co 0.250 0.375 0.625 1
H8 H 0.512 0.823 0.928 1
H9 H 0.677 0.072 0.988 1
In1 In 0.125 0.250 0.875 1
H10 H 0.417 0.428 0.605 1
H11 H 0.428 0.417 0.105 1
In2 In 0.875 0.750 0.125 1
H12 H 0.823 0.512 0.428 1
H13 H 0.428 0.012 0.823 1
H14 H 0.512 0.688 0.083 1
H15 H 0.488 0.312 0.917 1
Co2 Co 0.500 0.000 0.000 1
H16 H 0.105 0.917 0.428 1
H17 H 0.323 0.928 0.012 1
In3 In 0.625 0.250 0.375 1
H18 H 0.177 0.488 0.572 1
Co3 Co 0.000 0.000 0.500 1
Co4 Co 0.000 0.000 0.000 1
H19 H 0.917 0.812 0.488 1
Co5 Co 0.625 0.750 0.875 1
Co6 Co 0.500 0.000 0.500 1
Co7 Co 0.125 0.375 0.250 1
Co8 Co 0.750 0.625 0.375 1
H20 H 0.583 0.012 0.688 1
H21 H 0.605 0.928 0.417 1
H22 H 0.083 0.895 0.072 1
H23 H 0.928 0.323 0.512 1
In4 In 0.625 0.375 0.750 1
H24 H 0.012 0.583 0.188 1
H25 H 0.188 0.083 0.012 1
H26 H 0.812 0.917 0.988 1
Co9 Co 0.500 0.500 0.500 1
H27 H 0.188 0.105 0.677 1
H28 H 0.583 0.572 0.395 1
In5 In 0.125 0.875 0.750 1
In6 In 0.750 0.375 0.125 1
Co10 Co 0.875 0.625 0.750 1
In7 In 0.750 0.875 0.625 1
H29 H 0.395 0.072 0.583 1
Co11 Co 0.500 0.500 0.000 1
H30 H 0.572 0.988 0.177 1
Co12 Co 0.625 0.875 0.250 1
Co13 Co 0.750 0.125 0.875 1
Co14 Co 0.000 0.500 0.000 1
H31 H 0.688 0.177 0.605 1
In8 In 0.875 0.125 0.250 1
In9 In 0.250 0.125 0.375 1
H32 H 0.988 0.572 0.677 1
H33 H 0.012 0.428 0.323 1
H34 H 0.395 0.323 0.312 1
Co15 Co 0.250 0.875 0.125 1
H35 H 0.928 0.605 0.917 1
H36 H 0.072 0.677 0.488 1
In10 In 0.375 0.625 0.250 1
H37 H 0.895 0.083 0.572 1
H38 H 0.812 0.895 0.323 1
H39 H 0.677 0.605 0.188 1
In11 In 0.250 0.625 0.875 1
H40 H 0.105 0.188 0.177 1
Co16 Co 0.375 0.250 0.125 1
H41 H 0.417 0.988 0.312 1
H42 H 0.488 0.177 0.072 1
In12 In 0.375 0.750 0.625 1
Co17 Co 0.375 0.125 0.750 1
H43 H 0.177 0.688 0.105 1
H44 H 0.605 0.677 0.688 1
H45 H 0.688 0.512 0.583 1
Co18 Co 0.000 0.500 0.500 1
H46 H 0.823 0.312 0.895 1
H47 H 0.917 0.105 0.928 1
Co19 Co 0.875 0.250 0.625 1
H48 H 0.572 0.583 0.895 1
Co20 Co 0.125 0.750 0.375 1

# InCoH2 | Alexandria via LeMat-Bulk | PBE | relaxed
# - ΔE to the lowest computed polymorph: 0.000 eV/atom
# - Space-group type: I4mm
# - Total DFT energy (no corrections): -4.09 eV per atom
data_InCoH2
_chemical_formula_sum 'In1 Co1 H2'
_cell_length_a 3.012
_cell_length_b 3.012
_cell_length_c 4.892
_cell_angle_alpha 107.95
_cell_angle_beta 107.96
_cell_angle_gamma 89.99
_symmetry_space_group_name_H-M 'P 1'
_symmetry_Int_Tables_number 1
loop_
_symmetry_equiv_pos_as_xyz
'x,y,z'
loop_
_atom_site_label
_atom_site_type_symbol
_atom_site_fract_x
_atom_site_fract_y
_atom_site_fract_z
_atom_site_occupancy
H1 H 0.539 0.539 0.078 1
In1 In 0.307 0.807 0.614 1
H2 H 0.039 0.039 0.078 1
Co1 Co 0.615 0.115 0.229 1

# In2Co2H | Alexandria via LeMat-Bulk | PBE | relaxed
# - ΔE to the lowest computed polymorph: 0.000 eV/atom
# - Space-group type: P4/mbm
# - Total DFT energy (no corrections): -4.25 eV per atom
data_In2Co2H
_chemical_formula_sum 'In4 Co4 H2'
_cell_length_a 5.725
_cell_length_b 5.725
_cell_length_c 4.247
_cell_angle_alpha 90.00
_cell_angle_beta 90.00
_cell_angle_gamma 90.00
_symmetry_space_group_name_H-M 'P 1'
_symmetry_Int_Tables_number 1
loop_
_symmetry_equiv_pos_as_xyz
'x,y,z'
loop_
_atom_site_label
_atom_site_type_symbol
_atom_site_fract_x
_atom_site_fract_y
_atom_site_fract_z
_atom_site_occupancy
In1 In 0.330 0.170 0.500 1
In2 In 0.170 0.670 0.500 1
Co1 Co 0.155 0.345 0.000 1
Co2 Co 0.655 0.155 0.000 1
Co3 Co 0.345 0.845 0.000 1
Co4 Co 0.845 0.655 0.000 1
H1 H 0.500 0.500 0.000 1
H2 H 0.000 0.000 0.000 1
In3 In 0.670 0.830 0.500 1
In4 In 0.830 0.330 0.500 1

# InCoH2 | Alexandria via LeMat-Bulk | PBE | relaxed
# - ΔE to the lowest computed polymorph: 0.759 eV/atom
# - Space-group type: Fm-3m
# - Total DFT energy (no corrections): -3.33 eV per atom
data_InCoH2
_chemical_formula_sum 'In1 Co1 H2'
_cell_length_a 3.796
_cell_length_b 3.796
_cell_length_c 3.796
_cell_angle_alpha 60.00
_cell_angle_beta 60.00
_cell_angle_gamma 60.00
_symmetry_space_group_name_H-M 'P 1'
_symmetry_Int_Tables_number 1
loop_
_symmetry_equiv_pos_as_xyz
'x,y,z'
loop_
_atom_site_label
_atom_site_type_symbol
_atom_site_fract_x
_atom_site_fract_y
_atom_site_fract_z
_atom_site_occupancy
H1 H 0.750 0.750 0.750 1
Co1 Co 0.000 0.000 0.000 1
In1 In 0.500 0.500 0.500 1
H2 H 0.250 0.250 0.250 1

Q: Which of these has the highest total DFT energy (no corrections)?
A: number 11